# CrBiTeO6 | Alexandria | PBEsol | optimized geometry
# symmetry: P-31c
# volume: 12.77 A^3/atom
# total DFT energy (no corrections): -6.92 eV/atom
data_CrBiTeO6
_chemical_formula_sum 'Cr2 Bi2 Te2 O12'
_symmetry_space_group_name_H-M 'P 1'
_symmetry_Int_Tables_number 1
_cell_length_a 5.1740
_cell_length_b 5.1740
_cell_length_c 9.9169
_cell_angle_alpha 90.00
_cell_angle_beta 90.00
_cell_angle_gamma 120.00
loop_
_symmetry_equiv_pos_as_xyz
'x,y,z'
loop_
_atom_site_label
_atom_site_type_symbol
_atom_site_fract_x
_atom_site_fract_y
_atom_site_fract_z
_atom_site_occupancy
Cr1 Cr 0.3333 0.6667 0.2500 1
Cr2 Cr 0.6667 0.3333 0.7500 1
Bi1 Bi 0.0000 0.0000 0.0000 1
Bi2 Bi 0.0000 0.0000 0.5000 1
Te1 Te 0.3333 0.6667 0.7500 1
Te2 Te 0.6667 0.3333 0.2500 1
O1 O 0.0015 0.3709 0.8585 1
O2 O 0.0015 0.6306 0.6415 1
O3 O 0.3694 0.3709 0.6415 1
O4 O 0.3694 0.9985 0.8585 1
O5 O 0.3709 0.0015 0.3585 1
O6 O 0.3709 0.3694 0.1415 1
O7 O 0.6291 0.6306 0.8585 1
O8 O 0.6291 0.9985 0.6415 1
O9 O 0.6306 0.0015 0.1415 1
O10 O 0.6306 0.6291 0.3585 1
O11 O 0.9985 0.3694 0.3585 1
O12 O 0.9985 0.6291 0.1415 1